Entry 1:
Y2FePt | PBE | relaxed

Geometry as POSCAR:
```
Y2FePt
1.0
3.466 0.000 0.000
0.000 3.466 0.000
0.000 0.000 6.854
Y Fe Pt
2 1 1
direct
0.000 0.000 0.245
0.000 0.000 0.755
0.500 0.500 0.000
0.500 0.500 0.500
```

Properties
**Energy relative to the elements**: -0.53 eV per atom
**Total energy**: -7.38 eV per atom

---

Entry 2:
Pr2DyRh | PBE | relaxed

Geometry as POSCAR:
```
Pr2DyRh
1.0
1.873 1.081 10.679
-1.873 1.081 10.679
0.000 -2.162 10.679
Pr Dy Rh
2 1 1
direct
0.109 0.109 0.109
0.891 0.891 0.891
0.000 0.000 0.000
0.500 0.500 0.500
```

Properties
**Energy relative to the elements**: -0.04 eV per atom
**Total energy**: -5.42 eV per atom
**Energy above the most stable polymorph in this dataset**: 388.5 meV per atom

---

Entry 3:
LiAgAu2 | PBE | relaxed

Geometry as POSCAR:
```
LiAgAu2
1.0
3.201 0.000 0.000
0.000 3.201 0.000
0.000 0.000 6.531
Li Ag Au
1 1 2
direct
0.000 0.000 0.000
0.000 0.000 0.500
0.500 0.500 0.224
0.500 0.500 0.776
```

Properties
**Energy relative to the elements**: -0.28 eV per atom
**Total energy**: -3.11 eV per atom
**Energy above the most stable polymorph in this dataset**: 34.0 meV per atom

---

Entry 4:
In2FeSiC | PBE | relaxed

Geometry as POSCAR:
```
In2FeSiC
1.0
5.050 0.000 0.000
0.000 5.050 0.000
0.000 0.000 4.210
In Fe Si C
2 1 1 1
direct
0.000 0.500 0.000
0.500 0.000 0.000
0.000 0.000 0.500
0.000 0.000 0.000
0.500 0.500 0.500
```

Properties
**Total energy**: -3.84 eV per atom
**Formation energy (no corrections)**: 1.8789 eV/atom

---

Entry 5:
TbGa2IrO8 | PBE | relaxed

Geometry as POSCAR:
```
TbGa2IrO8
1.0
4.704 0.000 0.000
0.000 6.386 0.000
-0.031 0.000 4.732
Tb Ga Ir O
1 2 1 8
direct
0.000 0.000 0.000
0.500 0.247 0.500
0.500 0.753 0.500
0.000 0.500 0.000
0.208 0.285 0.200
0.208 0.715 0.200
0.288 0.500 0.705
0.319 0.000 0.673
0.681 0.000 0.327
0.712 0.500 0.295
0.792 0.285 0.800
0.792 0.715 0.800
```

Properties
**Total energy**: -6.49 eV per atom
**Formation energy (no corrections)**: -1.5585 eV/atom

---

Entry 6:
Mg2Cd9Sn | PBE | relaxed

Geometry as POSCAR:
```
Mg2Cd9Sn
1.0
10.069 0.000 0.000
-5.034 8.720 0.000
0.000 0.000 3.186
Mg Cd Sn
2 9 1
direct
0.333 0.667 0.000
0.667 0.333 0.000
0.000 0.500 0.000
0.177 0.355 0.500
0.177 0.823 0.500
0.355 0.177 0.500
0.500 0.000 0.000
0.500 0.500 0.000
0.645 0.823 0.500
0.823 0.177 0.500
0.823 0.645 0.500
0.000 0.000 0.000
```

Properties
**Energy relative to the elements**: 0.03 eV per atom
**Total energy**: -1.26 eV per atom
**Energy above the most stable polymorph in this dataset**: 60.2 meV per atom

---

Entry 7:
LiAl5 | PBE | relaxed

Geometry as POSCAR:
```
LiAl5
1.0
2.039 -5.902 0.000
2.039 5.902 0.000
0.000 0.000 4.098
Li Al
1 5
direct
0.000 0.000 0.000
0.167 0.833 0.500
0.332 0.668 0.000
0.500 0.500 0.500
0.668 0.332 0.000
0.833 0.167 0.500
```

Properties
**Energy relative to the elements**: -0.06 eV per atom
**Total energy**: -3.50 eV per atom
**Energy above the most stable polymorph in this dataset**: 0.0 meV per atom

---

Entry 8:
YZn5Ag2 | PBE | relaxed

Geometry as POSCAR:
```
YZn5Ag2
1.0
-1.932 3.610 5.268
1.932 -3.610 5.268
1.932 3.610 -5.268
Y Zn Ag
1 5 2
direct
0.000 0.000 0.000
0.183 0.376 0.807
0.431 0.624 0.807
0.500 0.000 0.500
0.569 0.376 0.193
0.817 0.624 0.193
0.248 0.748 0.500
0.752 0.252 0.500
```

Properties
**Energy relative to the elements**: -0.14 eV per atom
**Total energy**: -2.46 eV per atom

---

| no. | DOS at the Fermi energy (states/eV/atom) |
| --- | --- |
| 1 | 1.05 |
| 2 | 1.48 |
| 3 | 0.33 |
| 4 | 1.04 |
| 5 | 0.53 |
| 6 | 0.43 |
| 7 | 0.26 |
| 8 | 0.40 |